1.
DFT (GGA-PBE) results for an optimized crystal structure of Na2Rh3O6.

```
data_Na2Rh3O6
_chemical_formula_sum 'Na4 Rh6 O12'
_space_group_name_H-M_alt 'C 1 2/m 1'
_space_group_IT_number 12
_space_group_name_Hall '-C 2y'
_cell_length_a 5.4293
_cell_length_b 9.3922
_cell_length_c 5.6068
_cell_angle_alpha 90.00
_cell_angle_beta 108.80
_cell_angle_gamma 90.00
loop_
_atom_site_label
_atom_site_type_symbol
_atom_site_fract_x
_atom_site_fract_y
_atom_site_fract_z
Na1 Na 0.0000 0.1666 0.0000
Rh1 Rh 0.0000 0.0000 0.5000
Rh2 Rh 0.0000 0.3348 0.5000
O1 O 0.2272 0.1682 0.6863
O2 O 0.2334 0.5000 0.6903
```

## Properties
- E: -131.60 eV per cell

2.
DFT (GGA-PBE) results for an optimized crystal structure of AcDyMg.

```
data_AcDyMg
_chemical_formula_sum 'Ac4 Dy4 Mg4'
_space_group_name_H-M_alt 'C 1 2/m 1'
_space_group_IT_number 12
_space_group_name_Hall '-C 2y'
_cell_length_a 7.1200
_cell_length_b 7.0080
_cell_length_c 8.3540
_cell_angle_alpha 90.00
_cell_angle_beta 100.43
_cell_angle_gamma 90.00
loop_
_atom_site_label
_atom_site_type_symbol
_atom_site_fract_x
_atom_site_fract_y
_atom_site_fract_z
Ac1 Ac 0.1860 0.0000 0.1763
Dy1 Dy 0.1870 0.5000 0.2349
Mg1 Mg 0.0000 0.2489 0.5000
```

## Properties
- E_form: 0.161 eV per atom

3.
DFT (GGA-PBE) results for an optimized crystal structure of Al2TlTe.

```
data_Al2TlTe
_chemical_formula_sum 'Al6 Tl3 Te3'
_space_group_name_H-M_alt 'R 3 m'
_space_group_IT_number 160
_space_group_name_Hall 'R 3 -2"'
_cell_length_a 3.5163
_cell_length_b 3.5163
_cell_length_c 30.2555
_cell_angle_alpha 90.00
_cell_angle_beta 90.00
_cell_angle_gamma 120.00
loop_
_atom_site_label
_atom_site_type_symbol
_atom_site_fract_x
_atom_site_fract_y
_atom_site_fract_z
Al1 Al 0.0000 0.0000 0.0000
Al2 Al 0.0000 0.0000 0.2656
Tl1 Tl 0.0000 0.0000 0.5164
Te1 Te 0.0000 0.0000 0.7277
```

## Properties
- E: -37.72 eV per cell

4.
DFT (GGA-PBE) results for an optimized crystal structure of HfAlCd.

```
data_HfAlCd
_chemical_formula_sum 'Hf2 Al2 Cd2'
_space_group_name_H-M_alt 'I 4 m m'
_space_group_IT_number 107
_space_group_name_Hall 'I 4 -2'
_cell_length_a 3.0582
_cell_length_b 3.0582
_cell_length_c 12.6709
_cell_angle_alpha 90.00
_cell_angle_beta 90.00
_cell_angle_gamma 90.00
loop_
_atom_site_label
_atom_site_type_symbol
_atom_site_fract_x
_atom_site_fract_y
_atom_site_fract_z
Hf1 Hf 0.0000 0.0000 0.0000
Al1 Al 0.0000 0.0000 0.6531
Cd1 Cd 0.0000 0.0000 0.3193
```

## Properties
- E_form: -0.108 eV per atom

5.
DFT (GGA-PBE) results for an optimized crystal structure of CsSr3S.

```
data_CsSr3S
_chemical_formula_sum 'Cs1 Sr3 S1'
_space_group_name_H-M_alt 'P m -3 m'
_space_group_IT_number 221
_space_group_name_Hall '-P 4 2 3'
_cell_length_a 6.2556
_cell_length_b 6.2556
_cell_length_c 6.2556
_cell_angle_alpha 90.00
_cell_angle_beta 90.00
_cell_angle_gamma 90.00
loop_
_atom_site_label
_atom_site_type_symbol
_atom_site_fract_x
_atom_site_fract_y
_atom_site_fract_z
Cs1 Cs 0.0000 0.0000 0.0000
Sr1 Sr 0.0000 0.5000 0.5000
S1 S 0.5000 0.5000 0.5000
```

## Properties
- E: -12.77 eV per cell

6.
DFT (GGA-PBE) results for an optimized crystal structure of Ho2ErIr3.

```
data_Ho2ErIr3
_chemical_formula_sum 'Ho4 Er2 Ir6'
_space_group_name_H-M_alt 'I m m m'
_space_group_IT_number 71
_space_group_name_Hall '-I 2 2'
_cell_length_a 4.6753
_cell_length_b 5.5859
_cell_length_c 9.8387
_cell_angle_alpha 90.00
_cell_angle_beta 90.00
_cell_angle_gamma 90.00
loop_
_atom_site_label
_atom_site_type_symbol
_atom_site_fract_x
_atom_site_fract_y
_atom_site_fract_z
Ho1 Ho 0.0000 0.0000 0.1674
Er1 Er 0.0000 0.0000 0.5000
Ir1 Ir 0.0000 0.5000 0.1634
Ir2 Ir 0.0000 0.5000 0.5000
```

## Properties
- E_form: -0.480 eV per atom

Number 5 is which compound?
CsSr3S